No. 1
# CaCdSb2 (PBE, optimized geometry)
data_CaCdSb2
_symmetry_space_group_name_H-M 'P 4/n m m'
_symmetry_Int_Tables_number 129
_cell_length_a 4.452
_cell_length_b 4.452
_cell_length_c 11.193
_cell_angle_alpha 90.00
_cell_angle_beta 90.00
_cell_angle_gamma 90.00
loop_
_symmetry_equiv_pos_as_xyz
'x,y,z'
'-x,-y,-z'
'-y+1/2,x,z'
'y+1/2,-x,-z'
'-x+1/2,-y+1/2,z'
'x+1/2,y+1/2,-z'
'y,-x+1/2,z'
'-y,x+1/2,-z'
'x+1/2,-y,-z'
'-x+1/2,y,z'
'-y,-x,-z'
'y,x,z'
'-x,y+1/2,-z'
'x,-y+1/2,z'
'y+1/2,x+1/2,-z'
'-y+1/2,-x+1/2,z'
loop_
_atom_site_label
_atom_site_type_symbol
_atom_site_fract_x
_atom_site_fract_y
_atom_site_fract_z
Ca1 Ca 0.250 0.250 0.223
Cd1 Cd 0.250 0.750 0.500
Sb1 Sb 0.250 0.250 0.680
Sb2 Sb 0.250 0.750 0.000
# Magnetic moment, μB/cell: 0.0

---

No. 2
# Ca4CdSb (PBE, optimized geometry)
data_Ca4CdSb
_symmetry_space_group_name_H-M 'F -4 3 m'
_symmetry_Int_Tables_number 216
_symmetry_space_group_name_Hall 'F -4 2 3'
_cell_length_a 9.412
_cell_length_b 9.412
_cell_length_c 9.412
_cell_angle_alpha 90.00
_cell_angle_beta 90.00
_cell_angle_gamma 90.00
loop_
_atom_site_label
_atom_site_type_symbol
_atom_site_fract_x
_atom_site_fract_y
_atom_site_fract_z
Ca1 Ca 0.124 0.124 0.376
Cd1 Cd 0.000 0.000 0.000
Sb1 Sb 0.250 0.250 0.750
# Magnetic moment, μB/cell: 0.0

---

No. 3
# Ca2CdSb (PBE, optimized geometry)
data_Ca2CdSb
_symmetry_space_group_name_H-M 'I -4 2 d'
_symmetry_Int_Tables_number 122
_symmetry_space_group_name_Hall 'I -4 2bw'
_cell_length_a 5.658
_cell_length_b 5.658
_cell_length_c 19.200
_cell_angle_alpha 90.00
_cell_angle_beta 90.00
_cell_angle_gamma 90.00
loop_
_atom_site_label
_atom_site_type_symbol
_atom_site_fract_x
_atom_site_fract_y
_atom_site_fract_z
Ca1 Ca 0.237 0.250 0.125
Cd1 Cd 0.000 0.000 0.500
Sb1 Sb 0.000 0.000 0.000
# Magnetic moment, μB/cell: 0.0
# ΔE to the lowest computed polymorph, meV per atom: 478

---

No. 4
# CaCdSb2 (PBE, optimized geometry)
data_CaCdSb2
_symmetry_space_group_name_H-M 'P n m a'
_symmetry_Int_Tables_number 62
_symmetry_space_group_name_Hall '-P 2ac 2n'
_cell_length_a 22.375
_cell_length_b 4.461
_cell_length_c 4.469
_cell_angle_alpha 90.00
_cell_angle_beta 90.00
_cell_angle_gamma 90.00
loop_
_atom_site_label
_atom_site_type_symbol
_atom_site_fract_x
_atom_site_fract_y
_atom_site_fract_z
Ca1 Ca 0.112 0.250 0.231
Cd1 Cd 0.250 0.250 0.731
Sb1 Sb 0.001 0.250 0.721
Sb2 Sb 0.160 0.750 0.732
# Magnetic moment, μB/cell: 0.0

---

No. 5
# Ca2CdSb2 (PBE, optimized geometry)
data_Ca2CdSb2
_symmetry_space_group_name_H-M 'I 4/m m m'
_symmetry_Int_Tables_number 139
_symmetry_space_group_name_Hall '-I 4 2'
_cell_length_a 5.851
_cell_length_b 5.851
_cell_length_c 10.442
_cell_angle_alpha 90.00
_cell_angle_beta 90.00
_cell_angle_gamma 90.00
loop_
_atom_site_label
_atom_site_type_symbol
_atom_site_fract_x
_atom_site_fract_y
_atom_site_fract_z
Ca1 Ca 0.000 0.500 0.250
Cd1 Cd 0.000 0.000 0.000
Sb1 Sb 0.000 0.000 0.363
# Magnetic moment, μB/cell: 0.0

---

No. 6
# CaCdSb2 (PBE, optimized geometry)
data_CaCdSb2
_symmetry_space_group_name_H-M 'I -4 m 2'
_symmetry_Int_Tables_number 119
_symmetry_space_group_name_Hall 'I -4 -2'
_cell_length_a 4.506
_cell_length_b 4.506
_cell_length_c 10.553
_cell_angle_alpha 90.00
_cell_angle_beta 90.00
_cell_angle_gamma 90.00
loop_
_atom_site_label
_atom_site_type_symbol
_atom_site_fract_x
_atom_site_fract_y
_atom_site_fract_z
Ca1 Ca 0.000 0.000 0.000
Cd1 Cd 0.000 0.500 0.750
Sb1 Sb 0.000 0.000 0.500
Sb2 Sb 0.000 0.500 0.250
# Magnetic moment, μB/cell: 0.0

---

No. 7
# Ca6Cd5Sb (PBE, optimized geometry)
data_Ca6Cd5Sb
_symmetry_space_group_name_H-M 'C m m m'
_symmetry_Int_Tables_number 65
_symmetry_space_group_name_Hall '-C 2 2'
_cell_length_a 5.435
_cell_length_b 16.424
_cell_length_c 7.605
_cell_angle_alpha 90.00
_cell_angle_beta 90.00
_cell_angle_gamma 90.00
loop_
_atom_site_label
_atom_site_type_symbol
_atom_site_fract_x
_atom_site_fract_y
_atom_site_fract_z
Ca1 Ca 0.000 0.000 0.247
Ca2 Ca 0.000 0.335 0.252
Cd1 Cd 0.000 0.165 0.500
Cd2 Cd 0.000 0.177 0.000
Cd3 Cd 0.000 0.500 0.500
Sb1 Sb 0.000 0.500 0.000
# Magnetic moment, μB/cell: 0.0

---

No. 8
# CaCd2Sb2 (PBE, optimized geometry)
data_CaCd2Sb2
_symmetry_space_group_name_H-M 'P -3 m 1'
_symmetry_Int_Tables_number 164
_symmetry_space_group_name_Hall '-P 3 2"'
_cell_length_a 4.7224
_cell_length_b 4.7224
_cell_length_c 7.6271
_cell_angle_alpha 90.00
_cell_angle_beta 90.00
_cell_angle_gamma 120.00
loop_
_atom_site_label
_atom_site_type_symbol
_atom_site_fract_x
_atom_site_fract_y
_atom_site_fract_z
Ca1 Ca 0.0000 0.0000 0.0000
Cd1 Cd 0.3333 0.6667 0.6308
Sb1 Sb 0.3333 0.6667 0.2351
# Magnetic moment, μB/cell: 0.0
# ΔE to the lowest computed polymorph, meV per atom: 0

---

No. 9
# CaCd2Sb (PBE, optimized geometry)
data_CaCd2Sb
_symmetry_space_group_name_H-M 'C 1 m 1'
_symmetry_Int_Tables_number 8
_symmetry_space_group_name_Hall 'C -2y'
_cell_length_a 10.568
_cell_length_b 4.499
_cell_length_c 4.722
_cell_angle_alpha 90.00
_cell_angle_beta 90.12
_cell_angle_gamma 90.00
loop_
_atom_site_label
_atom_site_type_symbol
_atom_site_fract_x
_atom_site_fract_y
_atom_site_fract_z
Ca1 Ca 0.000 0.000 0.000
Cd1 Cd 0.230 0.500 0.501
Cd2 Cd 0.455 0.000 0.499
Sb1 Sb 0.287 0.000 0.998
# Magnetic moment, μB/cell: 0.0

---

No. 10
# CaCd2Sb (PBE, optimized geometry)
data_CaCd2Sb
_symmetry_space_group_name_H-M 'P 4/m m m'
_symmetry_Int_Tables_number 123
_symmetry_space_group_name_Hall '-P 4 2'
_cell_length_a 4.486
_cell_length_b 4.486
_cell_length_c 5.104
_cell_angle_alpha 90.00
_cell_angle_beta 90.00
_cell_angle_gamma 90.00
loop_
_atom_site_label
_atom_site_type_symbol
_atom_site_fract_x
_atom_site_fract_y
_atom_site_fract_z
Ca1 Ca 0.000 0.000 0.000
Cd1 Cd 0.000 0.500 0.500
Sb1 Sb 0.500 0.500 0.000
# Magnetic moment, μB/cell: 0.0

---

No. 11
# CaCdSb2 (PBE, optimized geometry)
data_CaCdSb2
_symmetry_space_group_name_H-M 'R -3 m'
_symmetry_Int_Tables_number 166
_symmetry_space_group_name_Hall '-R 3 2"'
_cell_length_a 4.0524
_cell_length_b 4.0524
_cell_length_c 25.0451
_cell_angle_alpha 90.00
_cell_angle_beta 90.00
_cell_angle_gamma 120.00
loop_
_atom_site_label
_atom_site_type_symbol
_atom_site_fract_x
_atom_site_fract_y
_atom_site_fract_z
Ca1 Ca 0.0000 0.0000 0.0000
Cd1 Cd 0.0000 0.0000 0.5000
Sb1 Sb 0.0000 0.0000 0.2421
# Magnetic moment, μB/cell: 0.0

---

No. 12
# Ca2CdSb (PBE, optimized geometry)
data_Ca2CdSb
_symmetry_space_group_name_H-M 'A m m 2'
_symmetry_Int_Tables_number 38
_symmetry_space_group_name_Hall 'A 2 -2'
_cell_length_a 4.577
_cell_length_b 4.526
_cell_length_c 11.684
_cell_angle_alpha 90.00
_cell_angle_beta 90.00
_cell_angle_gamma 90.00
loop_
_atom_site_label
_atom_site_type_symbol
_atom_site_fract_x
_atom_site_fract_y
_atom_site_fract_z
Ca1 Ca 0.000 0.000 0.000
Ca2 Ca 0.500 0.000 0.273
Cd1 Cd 0.000 0.000 0.724
Sb1 Sb 0.500 0.000 0.552
# Magnetic moment, μB/cell: 0.0
# ΔE to the lowest computed polymorph, meV per atom: 0

---

Number 1: Fermi-level density of states 2.3 states/eV/cell, total energy -3.29 eV/atom. Number 2: Fermi-level density of states 28.3 states/eV/cell, total energy -2.07 eV/atom. Number 3: Fermi-level density of states 3.0 states/eV/cell, total energy -2.47 eV/atom. Number 4: Fermi-level density of states 2.1 states/eV/cell, total energy -3.30 eV/atom. Number 5: Fermi-level density of states 0.6 states/eV/cell, total energy -3.12 eV/atom. Number 6: Fermi-level density of states 4.5 states/eV/cell, total energy -3.15 eV/atom. Number 7: Fermi-level density of states 16.6 states/eV/cell, total energy -2.19 eV/atom. Number 8: Fermi-level density of states 0.1 states/eV/cell, total energy -2.88 eV/atom. Number 9: Fermi-level density of states 2.0 states/eV/cell, total energy -2.33 eV/atom. Number 10: Fermi-level density of states 1.9 states/eV/cell, total energy -2.39 eV/atom. Number 11: Fermi-level density of states 10.7 states/eV/cell, total energy -3.03 eV/atom. Number 12: Fermi-level density of states 1.4 states/eV/cell, total energy -2.95 eV/atom.